# Zr2FeRuO PBE+U optimized geometry
# Raw total energy, eV/cell: -32.86
# Symmetry: P4/mmm (123)
# Crystal system: tetragonal
data_Zr2FeRuO
_cell_length_a 4.946
_cell_length_b 4.946
_cell_length_c 4.676
_cell_angle_alpha 90.00
_cell_angle_beta 90.00
_cell_angle_gamma 90.00
_space_group_name_H-M_alt 'P 1'
_space_group_IT_number 1
_space_group_name_Hall 'P 1'
loop_
_atom_site_label
_atom_site_fract_x
_atom_site_fract_y
_atom_site_fract_z
Zr1 0.000 0.500 0.000
Zr2 0.500 0.000 0.000
Fe1 0.000 0.000 0.500
Ru1 0.000 0.000 0.000
O1 0.500 0.500 0.500